# Rb3NiPb

A relaxed Rb3NiPb crystal (PBE-GGA, the Alexandria database).

The value obtained for the formation energy is 567 meV per atom. The value obtained for the energy above the most stable polymorph in this dataset is 0.00 eV/f.u. For the volume, the calculation gives 262.1 Å³/cell. Its size of the total moment is 0.60 μB/atom. The total energy comes out at -9.56 eV for the cell shown.

The space group is Pm-3m (No. 221) and the conventional cell measures 6.3994, 6.3994 and 6.3994 Å, with angles of 90.00, 90.00 and 90.00 degrees. The distinct sites, in fractional coordinates, are Rb at (0.0000, 0.0000, 0.5000), Ni at (0.0000, 0.0000, 0.0000) and Pb at (0.5000, 0.5000, 0.5000).

=====

# RbNiSb2Pb

A relaxed RbNiSb2Pb crystal (PBE-GGA, the Alexandria database).

As for the uncorrected formation energy: 136.39 kJ per mole of atoms. For the volume, the calculation gives 176.2 Å³/cell. Its size of the total moment is 0.02 μB/atom. The total energy comes out at -11.63 eV for the cell shown.

The space group is P4/mmm (No. 123) and the conventional cell measures 6.0919, 6.0919 and 4.7484 Å, with angles of 90.00, 90.00 and 90.00 degrees. The distinct sites, in fractional coordinates, are Rb at (0.0000, 0.0000, 0.0000), Ni at (0.0000, 0.0000, 0.5000), Sb at (0.0000, 0.5000, 0.0000) and Pb at (0.5000, 0.5000, 0.5000).